An optimized crystal structure of HfCuTe, computed with PBE-GGA.

Computed properties:
Energy, eV/cell: -71.35
Energy relative to the elements, uncorrected, eV per atom: -0.21
Symmetry: C2/m (12)

Cell and atoms, written as CIF:
```
data_HfCuTe
_cell_length_a 6.669
_cell_length_b 3.848
_cell_length_c 11.414
_cell_angle_alpha 90.00
_cell_angle_beta 101.02
_cell_angle_gamma 90.00
_symmetry_space_group_name_H-M 'P 1'
_symmetry_Int_Tables_number 1
loop_
_symmetry_equiv_pos_as_xyz
'x,y,z'
loop_
_atom_site_label
_atom_site_fract_x
_atom_site_fract_y
_atom_site_fract_z
Hf1 0.102 0.000 0.305
Hf2 0.398 0.500 0.695
Hf3 0.602 0.500 0.305
Hf4 0.898 0.000 0.695
Cu1 0.185 0.000 0.554
Cu2 0.315 0.500 0.446
Cu3 0.685 0.500 0.554
Cu4 0.815 0.000 0.446
Te1 0.117 0.500 0.854
Te2 0.383 0.000 0.146
Te3 0.617 0.000 0.854
Te4 0.883 0.500 0.146
```